The following is a GGA-PBE calculation of crystalline Ac3ReTe2O6 at its relaxed geometry, from Alexandria.

a b c (Å): 7.451 7.451 5.804
angles (deg): 94.23 94.23 56.61
Element x y z (fractional)
Ac (0.000, 0.000, 0.000)
Ac (0.000, 0.500, 0.500)
Ac (0.500, 0.000, 0.500)
Re (0.500, 0.500, 0.500)
Te (0.237, 0.237, 0.958)
Te (0.763, 0.763, 0.042)
O (0.256, 0.661, 0.699)
O (0.339, 0.744, 0.301)
O (0.361, 0.361, 0.371)
O (0.639, 0.639, 0.629)
O (0.661, 0.256, 0.699)
O (0.744, 0.339, 0.301)

Calculated values
The electronic total energy is -6.92 eV/atom. The crystal system is monoclinic. Its space group is No. 12. The calculation puts the raw formation energy at -1.856 eV per atom.

=====

The following is a GGA-PBE calculation of crystalline AcTl2Re3O12 at its relaxed geometry, from Alexandria.

a b c (Å): 7.089 7.089 7.089
angles (deg): 64.08 64.08 64.08
Element x y z (fractional)
Ac (0.000, 0.000, 0.000)
Tl (0.386, 0.386, 0.386)
Tl (0.614, 0.614, 0.614)
Re (0.000, 0.000, 0.500)
Re (0.000, 0.500, 0.000)
Re (0.500, 0.000, 0.000)
O (0.090, 0.729, 0.729)
O (0.128, 0.128, 0.569)
O (0.128, 0.569, 0.128)
O (0.271, 0.271, 0.910)
O (0.271, 0.910, 0.271)
O (0.431, 0.872, 0.872)
O (0.569, 0.128, 0.128)
O (0.729, 0.090, 0.729)
O (0.729, 0.729, 0.090)
O (0.872, 0.431, 0.872)
O (0.872, 0.872, 0.431)
O (0.910, 0.271, 0.271)

Calculated values
The electronic total energy is -7.56 eV/atom. The crystal system is trigonal. Its space group is No. 166. The calculation puts the raw formation energy at -1.693 eV per atom.

=====

The following is a GGA-PBE calculation of crystalline Ac2TmReO8 at its relaxed geometry, from Alexandria.

a b c (Å): 5.777 6.266 6.491
angles (deg): 75.14 76.43 70.36
Element x y z (fractional)
Ac (0.090, 0.144, 0.208)
Ac (0.910, 0.856, 0.792)
Tm (0.500, 0.500, 0.500)
Re (0.500, 0.500, 0.000)
O (0.225, 0.828, 0.483)
O (0.274, 0.804, 0.990)
O (0.292, 0.428, 0.853)
O (0.321, 0.400, 0.273)
O (0.679, 0.600, 0.727)
O (0.708, 0.572, 0.147)
O (0.726, 0.196, 0.010)
O (0.775, 0.172, 0.517)

Calculated values
The electronic total energy is -8.18 eV/atom. The crystal system is triclinic. Its space group is No. 2. The calculation puts the raw formation energy at -2.781 eV per atom.